# Cs2Sr2Te

Crystalline Cs2Sr2Te at its relaxed geometry (PBE, Alexandria).

Computed properties:
Energy relative to the elements, uncorrected, eV per atom: -0.405
Space group: P4/mbm (127)

Cell: 8.9209 8.9209 8.0643 Å, 90.00 90.00 90.00°
Closest atoms and distances in Å follow each position.
Element x y z (fractional)
Sr 0.1691 0.3309 0.0000  2 Te 3.32
Sr 0.8309 0.6691 0.0000  2 Te 3.32
Sr 0.3309 0.8309 0.0000  2 Te 3.32
Sr 0.6691 0.1691 0.0000  2 Te 3.32
Cs 0.6774 0.8226 0.5000  2 Sr 4.47, 5 Cs 4.48-4.64
Cs 0.3226 0.1774 0.5000  2 Sr 4.47, 5 Cs 4.48-4.64
Cs 0.8226 0.3226 0.5000  2 Sr 4.47, 5 Cs 4.48-4.64
Cs 0.1774 0.6774 0.5000  2 Sr 4.47, 5 Cs 4.48-4.64
Te 0.5000 0.5000 0.0000  4 Sr 3.32
Te 0.0000 0.0000 0.0000  4 Sr 3.32

# Cs3SrTm2Te6

Crystalline Cs3SrTm2Te6 at its relaxed geometry (PBE, Alexandria).

Computed properties:
Energy relative to the elements, uncorrected, eV per atom: -1.288
Space group: C2/m (12)

Cell: 7.9838 7.9838 9.3643 Å, 98.19 98.19 120.05°
Closest atoms and distances in Å follow each position.
Element x y z (fractional)
Cs 0.5000 0.5000 0.5000  6 Te 3.73-3.90
Cs 0.1595 0.8405 0.5000  6 Te 3.76-3.91
Cs 0.8405 0.1595 0.5000  6 Te 3.76-3.91
Te 0.2936 0.2936 0.8107  2 Tm 3.09, 1 Sr 3.32
Te 0.5785 0.9355 0.8076  2 Tm 3.09, 1 Sr 3.33
Te 0.9355 0.5785 0.8076  2 Tm 3.09, 1 Sr 3.33
Te 0.7064 0.7064 0.1893  2 Tm 3.09, 1 Sr 3.32
Te 0.4215 0.0645 0.1924  2 Tm 3.09, 1 Sr 3.33
Te 0.0645 0.4215 0.1924  2 Tm 3.09, 1 Sr 3.33
Tm 0.3326 0.6674 0.0000  6 Te 3.09
Tm 0.6674 0.3326 0.0000  6 Te 3.09
Sr 0.0000 0.0000 0.0000  6 Te 3.32-3.33

# Cs3SrU3Te8

Crystalline Cs3SrU3Te8 at its relaxed geometry (PBE, Alexandria).

Computed properties:
Energy relative to the elements, uncorrected, eV per atom: -0.970
Space group: C2/m (12)

Cell: 9.1699 9.1726 10.4391 Å, 116.10 89.99 120.01°
Closest atoms and distances in Å follow each position.
Element x y z (fractional)
Cs 0.0000 0.5000 0.0000  6 Te 3.85-3.90
Cs 0.0000 0.0000 0.0000  6 Te 3.85-3.90
Cs 0.5000 0.5000 0.0000  6 Te 3.85-3.90
U 0.0000 0.5000 0.5000  6 Te 3.09-3.14
U 0.5000 0.0000 0.5000  6 Te 3.09-3.15
U 0.5000 0.5000 0.5000  6 Te 3.09-3.15
Te 0.7077 0.9505 0.6929  2 U 3.09, 1 Sr 3.32
Te 0.2429 0.9506 0.6928  2 U 3.09, 1 Sr 3.32
Te 0.7571 0.0494 0.3072  2 U 3.09, 1 Sr 3.32
Te 0.7298 0.4595 0.6889  3 U 3.14-3.15
Te 0.2923 0.0495 0.3071  2 U 3.09, 1 Sr 3.32
Te 0.7571 0.5144 0.3072  2 U 3.09, 1 Sr 3.32
Te 0.2429 0.4856 0.6928  2 U 3.09, 1 Sr 3.32
Te 0.2702 0.5405 0.3111  3 U 3.14-3.15
Sr 0.0000 0.0000 0.5000  6 Te 3.32

# Cs3Sr3UTe8

Crystalline Cs3Sr3UTe8 at its relaxed geometry (PBE, Alexandria).

Computed properties:
Energy relative to the elements, uncorrected, eV per atom: -1.122
Space group: C2/m (12)

Cell: 9.5351 9.5401 10.6397 Å, 116.69 90.00 119.98°
Closest atoms and distances in Å follow each position.
Element x y z (fractional)
Te 0.7915 0.5830 0.3146  1 U 2.95
Te 0.7915 0.0229 0.3146  1 U 2.95
Te 0.2085 0.4170 0.6854  1 U 2.95
Te 0.7341 0.4682 0.7019  3 Sr 3.31
Te 0.7686 0.9771 0.6854  1 U 2.95
Te 0.2085 0.9771 0.6854  1 U 2.95
Te 0.2314 0.0229 0.3146  1 U 2.95
Te 0.2659 0.5318 0.2981  3 Sr 3.31
Cs 0.0000 0.0000 0.0000  6 Te 3.86-3.87
Cs 0.0000 0.5000 0.0000  6 Te 3.87
Cs 0.5000 0.5000 0.0000  6 Te 3.87
Sr 0.5000 0.5000 0.5000  6 Te 3.31-3.38
Sr 0.0000 0.5000 0.5000  6 Te 3.31-3.38
Sr 0.5000 0.0000 0.5000  6 Te 3.31-3.38
U 0.0000 0.0000 0.5000  6 Te 2.95

# CsSrZr2Te

Crystalline CsSrZr2Te at its relaxed geometry (PBE, Alexandria).

Computed properties:
Energy relative to the elements, uncorrected, eV per atom: 1.220
Space group: P4/mmm (123)

Cell: 5.6948 5.6948 6.2315 Å, 90.00 90.00 90.00°
Closest atoms and distances in Å follow each position.
Element x y z (fractional)
Zr 0.5000 0.0000 0.0000  2 Sr 2.85
Zr 0.0000 0.5000 0.0000  2 Sr 2.85
Sr 0.0000 0.0000 0.0000  4 Zr 2.85, 2 Te 3.12
Cs 0.5000 0.5000 0.5000  4 Te 4.03, 8 Zr 4.22
Te 0.0000 0.0000 0.5000  2 Sr 3.12

# Cs2SrTi

Crystalline Cs2SrTi at its relaxed geometry (PBE, Alexandria).

Computed properties:
Space group: I-42d (122)
E_form, eV/atom: 0.967

Cell: 15.4292 15.4292 15.4292 Å, 159.80 159.80 28.72°
Closest atoms and distances in Å follow each position.
Element x y z (fractional)
Cs 0.1343 0.6250 0.0093  4 Cs 3.76-3.90, 2 Ti 4.18
Cs 0.6157 0.1250 0.9907  4 Cs 3.76-3.90, 2 Ti 4.18
Cs 0.8750 0.8657 0.4907  4 Cs 3.76-3.90, 2 Ti 4.18
Cs 0.3750 0.3843 0.5093  4 Cs 3.76-3.90, 2 Ti 4.18
Ti 0.2500 0.7500 0.5000  4 Sr 3.83, 4 Cs 4.18
Ti 0.5000 0.5000 0.0000  4 Sr 3.83, 4 Cs 4.18
Sr 0.0000 0.0000 0.0000  4 Ti 3.83, 4 Cs 4.21
Sr 0.7500 0.2500 0.5000  4 Ti 3.83, 4 Cs 4.21

# Cs3SrTi

Crystalline Cs3SrTi at its relaxed geometry (PBE, Alexandria).

Computed properties:
Space group: Pm-3m (221)
E_form, eV/atom: 1.265

Cell: 8.3333 8.3333 8.3333 Å, 90.00 90.00 90.00°
Closest atoms and distances in Å follow each position.
Element x y z (fractional)
Cs 0.0000 0.0000 0.5000  2 Sr 4.17
Cs 0.5000 0.0000 0.0000  2 Sr 4.17
Cs 0.0000 0.5000 0.0000  2 Sr 4.17
Sr 0.0000 0.0000 0.0000  6 Cs 4.17
Ti 0.5000 0.5000 0.5000  12 Cs 5.89

# Cs2SrTl

Crystalline Cs2SrTl at its relaxed geometry (PBE, Alexandria).

Computed properties:
Space group: Fm-3m (225)
E_form, eV/atom: 0.219

Cell: 7.0644 7.0644 7.0644 Å, 60.00 60.00 60.00°
Closest atoms and distances in Å follow each position.
Element x y z (fractional)
Sr 0.0000 0.0000 0.0000  8 Cs 4.33
Tl 0.5000 0.5000 0.5000  8 Cs 4.33
Cs 0.7500 0.7500 0.7500  4 Tl 4.33, 4 Sr 4.33
Cs 0.2500 0.2500 0.2500  4 Tl 4.33, 4 Sr 4.33

# Cs2SrTl16

Crystalline Cs2SrTl16 at its relaxed geometry (PBE, Alexandria).

Computed properties:
Space group: R3m (160)
E_form, eV/atom: -0.071

Cell: 8.7936 8.7936 8.7936 Å, 82.15 82.15 82.15°
Closest atoms and distances in Å follow each position.
Element x y z (fractional)
Tl 0.1411 0.6452 0.6452  8 Tl 3.38-3.71, 1 Sr 3.69
Tl 0.6452 0.6452 0.1411  8 Tl 3.38-3.71, 1 Sr 3.69
Tl 0.2938 0.0018 0.7087  8 Tl 3.34-3.71
Tl 0.3531 0.3531 0.8433  9 Tl 3.35-3.64
Tl 0.3531 0.8433 0.3531  9 Tl 3.35-3.64
Tl 0.0018 0.2938 0.7087  8 Tl 3.34-3.71
Tl 0.6452 0.1411 0.6452  8 Tl 3.38-3.71, 1 Sr 3.69
Tl 0.1084 0.1084 0.1084  6 Tl 3.43-3.64, 1 Sr 3.47
Tl 0.2938 0.7087 0.0018  8 Tl 3.34-3.71
Tl 0.4951 0.0043 0.0043  9 Tl 3.34-3.43, 1 Sr 3.61
Tl 0.7087 0.0018 0.2938  8 Tl 3.34-3.71
Tl 0.0018 0.7087 0.2938  8 Tl 3.34-3.71
Tl 0.0043 0.0043 0.4951  9 Tl 3.34-3.43, 1 Sr 3.61
Tl 0.7087 0.2938 0.0018  8 Tl 3.34-3.71
Tl 0.8433 0.3531 0.3531  9 Tl 3.35-3.64
Tl 0.0043 0.4951 0.0043  9 Tl 3.34-3.43, 1 Sr 3.61
Cs 0.3419 0.3419 0.3419  19 Tl 4.01-4.44
Cs 0.6501 0.6501 0.6501  12 Tl 3.99-4.31, 1 Sr 4.40
Sr 0.9063 0.9063 0.9063  13 Tl 3.47-3.76

# CsSrTl5

Crystalline CsSrTl5 at its relaxed geometry (PBE, Alexandria).

Computed properties:
Space group: P4/mmm (123)
E_form, eV/atom: -0.129

Cell: 4.8070 4.8070 11.9872 Å, 90.00 90.00 90.00°
Closest atoms and distances in Å follow each position.
Element x y z (fractional)
Tl 0.5000 0.0000 0.7766  6 Tl 3.40-3.60, 2 Sr 3.60
Tl 0.0000 0.5000 0.7766  6 Tl 3.40-3.60, 2 Sr 3.60
Tl 0.0000 0.5000 0.2234  6 Tl 3.40-3.60, 2 Sr 3.60
Tl 0.5000 0.0000 0.2234  6 Tl 3.40-3.60, 2 Sr 3.60
Tl 0.0000 0.0000 0.0000  4 Sr 3.40, 8 Tl 3.60
Sr 0.5000 0.5000 0.0000  12 Tl 3.40-3.60
Cs 0.0000 0.0000 0.5000  8 Tl 4.09

# CsSr2Tl9

Crystalline CsSr2Tl9 at its relaxed geometry (PBE, Alexandria).

Computed properties:
Space group: R-3m (166)
E_form, eV/atom: -0.162

Cell: 6.5946 6.5946 11.6584 Å, 73.57 73.57 60.00°
Closest atoms and distances in Å follow each position.
Element x y z (fractional)
Tl 0.3362 0.3362 0.9913  6 Tl 3.38-3.51
Tl 0.4107 0.4107 0.2604  7 Tl 3.25-3.51
Tl 0.6638 0.6638 0.0087  6 Tl 3.38-3.51
Tl 0.0818 0.5893 0.7396  7 Tl 3.25-3.51
Tl 0.4107 0.9182 0.2604  7 Tl 3.25-3.51
Tl 0.9182 0.4107 0.2604  7 Tl 3.25-3.51
Tl 0.5000 0.5000 0.5000  6 Tl 3.27
Tl 0.5893 0.0818 0.7396  7 Tl 3.25-3.51
Tl 0.5893 0.5893 0.7396  7 Tl 3.25-3.51
Sr 0.1401 0.1401 0.5798  12 Tl 3.74-3.99
Sr 0.8599 0.8599 0.4202  12 Tl 3.74-3.99
Cs 0.0000 0.0000 0.0000  6 Tl 3.81

# CsSrYTl2

Crystalline CsSrYTl2 at its relaxed geometry (PBE, Alexandria).

Computed properties:
Space group: P4/mmm (123)
E_form, eV/atom: 0.934

Cell: 6.2026 6.1551 6.2026 Å, 90.00 90.00 90.00°
Closest atoms and distances in Å follow each position.
Element x y z (fractional)
Tl 0.0000 0.0000 0.5000  2 Cs 3.10
Tl 0.5000 0.0000 0.0000  2 Cs 3.10
Sr 0.0000 0.5000 0.0000  2 Cs 3.08
Y 0.5000 0.5000 0.5000  8 Tl 4.37, 4 Sr 4.39
Cs 0.0000 0.0000 0.0000  2 Sr 3.08, 4 Tl 3.10

# CsSrV

Crystalline CsSrV at its relaxed geometry (PBE, Alexandria).

Computed properties:
Space group: P6_3/mmc (194)
Energy above the lowest structure with this stoichiometry, meV/atom: 525
E_form, eV/atom: 1.040

Cell: 6.3699 6.3699 7.4301 Å, 90.00 90.00 120.00°
Closest atoms and distances in Å follow each position.
Element x y z (fractional)
Cs 0.0000 0.0000 0.5000  2 Cs 3.72, 6 Sr 4.12, 6 V 4.12
Cs 0.0000 0.0000 0.0000  2 Cs 3.72, 6 Sr 4.12, 6 V 4.12
Sr 0.3333 0.6667 0.7500  5 V 3.68-3.72
Sr 0.6667 0.3333 0.2500  5 V 3.68-3.72
V 0.6667 0.3333 0.7500  5 Sr 3.68-3.72
V 0.3333 0.6667 0.2500  5 Sr 3.68-3.72

# CsSrV

Crystalline CsSrV at its relaxed geometry (PBE, Alexandria).

Computed properties:
Space group: C2/m (12)
Energy above the lowest structure with this stoichiometry, meV/atom: 47
E_form, eV/atom: 0.561

Cell: 29.7293 14.9179 14.9179 Å, 160.93 167.20 12.80°
Closest atoms and distances in Å follow each position.
Element x y z (fractional)
Cs 0.2640 0.5607 0.4393  4 Cs 4.43-4.94, 4 Sr 4.74, 1 V 4.77
Cs 0.7360 0.4393 0.5607  4 Cs 4.43-4.94, 4 Sr 4.74, 1 V 4.77
Sr 0.7677 0.6722 0.3278  4 V 3.30-3.48
Sr 0.2323 0.3278 0.6722  4 V 3.30-3.48
V 0.6885 0.3247 0.6753  1 V 1.84
V 0.3115 0.6753 0.3247  1 V 1.84

# CsSrV

Crystalline CsSrV at its relaxed geometry (PBE, Alexandria).

Computed properties:
Space group: P-6m2 (187)
Energy above the lowest structure with this stoichiometry, meV/atom: 621
E_form, eV/atom: 1.135

Cell: 6.2916 6.2916 3.8364 Å, 90.00 90.00 120.00°
Closest atoms and distances in Å follow each position.
Element x y z (fractional)
Cs 0.6667 0.3333 0.5000  2 Cs 3.84, 6 V 4.11, 6 Sr 4.11
V 0.3333 0.6667 0.0000  3 Sr 3.63, 2 V 3.84
Sr 0.0000 0.0000 0.0000  3 V 3.63, 2 Sr 3.84

# CsSrV

Crystalline CsSrV at its relaxed geometry (PBE, Alexandria).

Computed properties:
Space group: P1 (1)
Energy above the lowest structure with this stoichiometry, meV/atom: 0
E_form, eV/atom: 0.515

Cell: 4.5252 4.5259 16.9151 Å, 85.52 95.40 68.73°
Closest atoms and distances in Å follow each position.
Element x y z (fractional)
V 0.9439 0.9431 0.4261  1 V 1.85
V 0.1912 0.1898 0.4261  1 V 1.85
Sr 0.6315 0.5082 0.5471  6 V 3.39-3.47
Sr 0.5038 0.6247 0.3053  6 V 3.38-3.46
Cs 0.2429 0.8772 0.7883  4 Cs 4.53, 2 Sr 4.77-4.78
Cs 0.8539 0.2167 0.0647  4 Cs 4.53, 2 Sr 4.77

# CsSrV

Crystalline CsSrV at its relaxed geometry (PBE, Alexandria).

Computed properties:
Space group: F-43m (216)
Energy above the lowest structure with this stoichiometry, meV/atom: 649
E_form, eV/atom: 1.164

Cell: 6.0505 6.0505 6.0505 Å, 60.00 60.00 60.00°
Closest atoms and distances in Å follow each position.
Element x y z (fractional)
V 0.5000 0.5000 0.5000  4 Sr 3.71, 4 Cs 3.71
Sr 0.7500 0.7500 0.7500  4 V 3.71
Cs 0.2500 0.2500 0.2500  4 V 3.71

# CsSrV3

Crystalline CsSrV3 at its relaxed geometry (PBE, Alexandria).

Computed properties:
Space group: Pm-3m (221)
E_form, eV/atom: 2.231

Cell: 5.1288 5.1288 5.1288 Å, 90.00 90.00 90.00°
Closest atoms and distances in Å follow each position.
Element x y z (fractional)
Sr 0.5000 0.5000 0.5000  12 V 3.63
Cs 0.0000 0.0000 0.0000  6 V 2.56
V 0.0000 0.0000 0.5000  2 Cs 2.56
V 0.5000 0.0000 0.0000  2 Cs 2.56
V 0.0000 0.5000 0.0000  2 Cs 2.56

# CsSrV

Crystalline CsSrV at its relaxed geometry (PBE, Alexandria).

Computed properties:
Space group: P-6m2 (187)
Energy above the lowest structure with this stoichiometry, meV/atom: 389
E_form, eV/atom: 0.903

Cell: 6.1134 6.1134 9.6584 Å, 90.00 90.00 120.00°
Closest atoms and distances in Å follow each position.
Element x y z (fractional)
Sr 0.3333 0.6667 0.3017  3 V 3.67, 1 Sr 3.83, 3 Cs 4.02
Sr 0.3333 0.6667 0.6983  3 V 3.67, 1 Sr 3.83, 3 Cs 4.02
V 0.0000 0.0000 0.4063  1 V 1.81
V 0.0000 0.0000 0.5937  1 V 1.81
Cs 0.6667 0.3333 0.0000  6 Sr 4.58, 2 Cs 4.83
Cs 0.6667 0.3333 0.5000  6 V 3.64, 6 Sr 4.02

# CsSrV2

Crystalline CsSrV2 at its relaxed geometry (PBE, Alexandria).

Computed properties:
Space group: Fm-3m (225)
E_form, eV/atom: 1.481

Cell: 5.8947 5.8947 5.8947 Å, 60.00 60.00 60.00°
Closest atoms and distances in Å follow each position.
Element x y z (fractional)
V 0.2500 0.2500 0.2500  4 Cs 3.61, 4 Sr 3.61
V 0.7500 0.7500 0.7500  4 Sr 3.61, 4 Cs 3.61
Sr 0.0000 0.0000 0.0000  8 V 3.61
Cs 0.5000 0.5000 0.5000  8 V 3.61

Number 1: density 2.9 g/cm3, electronic total energy -20.471 eV/cell. Number 2: density 5.3 g/cm3, electronic total energy -47.496 eV/cell. Number 3: density 5.6 g/cm3, electronic total energy -77.789 eV/cell. Number 4: density 4.4 g/cm3, electronic total energy -60.863 eV/cell. Number 5: density 4.4 g/cm3, electronic total energy -16.676 eV/cell. Number 6: density 3.0 g/cm3, electronic total energy -14.835 eV/cell. Number 7: density 1.5 g/cm3, electronic total energy -5.811 eV/cell. Number 8: density 3.7 g/cm3, electronic total energy -4.877 eV/cell. Number 9: density 9.1 g/cm3, electronic total energy -42.605 eV/cell. Number 10: density 7.4 g/cm3, electronic total energy -15.273 eV/cell. Number 11: density 8.6 g/cm3, electronic total energy -27.462 eV/cell. Number 12: density 5.0 g/cm3, electronic total energy -9.060 eV/cell. Number 13: density 3.5 g/cm3, electronic total energy -17.068 eV/cell. Number 14: density 2.8 g/cm3, electronic total energy -19.940 eV/cell. Number 15: density 3.4 g/cm3, electronic total energy -8.248 eV/cell. Number 16: density 2.8 g/cm3, electronic total energy -20.220 eV/cell. Number 17: density 2.9 g/cm3, electronic total energy -8.163 eV/cell. Number 18: density 4.6 g/cm3, electronic total energy -18.734 eV/cell. Number 19: density 2.9 g/cm3, electronic total energy -17.887 eV/cell. Number 20: density 3.7 g/cm3, electronic total energy -14.848 eV/cell.